# TiHg3Os

A relaxed TiHg3Os crystal (GGA-PBE, the Alexandria database).

Cell: 5.167 5.167 5.167 Å, 90.00 90.00 90.00°
Fractional positions:
1 Ti 0.500 0.500 0.500
2 Os 0.000 0.000 0.000
3 Hg 0.000 0.000 0.500
4 Hg 0.500 0.000 0.000
5 Hg 0.000 0.500 0.000

* crystal system: cubic
* DFT formation energy: 1264.0 meV/atom
* energy relative to the lowest polymorph listed for this composition: 0.000 eV/f.u.
* calculated volume: 137.9 Å³ per cell
* space-group type: Pm-3m, No. 221
* E: -0.20154 Ry per atom

---

# Ti5HgOs4

A relaxed Ti5HgOs4 crystal (GGA-PBE, the Alexandria database).

Cell: 3.091 3.091 16.330 Å, 90.00 90.00 90.00°
Fractional positions:
1 Os 0.000 0.000 0.215
2 Os 0.000 0.000 0.595
3 Os 0.000 0.000 0.785
4 Os 0.000 0.000 0.405
5 Ti 0.500 0.500 0.500
6 Ti 0.500 0.500 0.689
7 Ti 0.500 0.500 0.122
8 Ti 0.500 0.500 0.311
9 Ti 0.500 0.500 0.878
10 Hg 0.000 0.000 0.000

* crystal system: tetragonal
* DFT formation energy: -554.7 meV/atom
* calculated volume: 156.0 Å³ per cell
* space-group type: P4/mmm, No. 123
* E: -0.66327 Ry per atom

---

# Ti2HgOs

A relaxed Ti2HgOs crystal (GGA-PBE, the Alexandria database).

Cell: 3.089 3.089 7.071 Å, 90.00 90.00 90.00°
Fractional positions:
1 Ti 0.000 0.000 0.784
2 Ti 0.000 0.000 0.216
3 Os 0.500 0.500 0.000
4 Hg 0.500 0.500 0.500

* crystal system: tetragonal
* DFT formation energy: -322.7 meV/atom
* calculated volume: 67.5 Å³ per cell
* space-group type: P4/mmm, No. 123
* E: -0.52574 Ry per atom

---

# TiHgOs3

A relaxed TiHgOs3 crystal (GGA-PBE, the Alexandria database).

Cell: 4.840 4.840 4.840 Å, 90.00 90.00 90.00°
Fractional positions:
1 Os 0.000 0.000 0.500
2 Os 0.000 0.500 0.000
3 Os 0.500 0.000 0.000
4 Hg 0.000 0.000 0.000
5 Ti 0.500 0.500 0.500

* crystal system: cubic
* DFT formation energy: 2943.1 meV/atom
* energy relative to the lowest polymorph listed for this composition: 5.672 eV/f.u.
* calculated volume: 113.4 Å³ per cell
* space-group type: Pm-3m, No. 221
* E: -0.39940 Ry per atom

---

# TiHgOs3

A relaxed TiHgOs3 crystal (GGA-PBE, the Alexandria database).

Cell: 4.590 4.590 4.590 Å, 90.00 90.00 90.00°
Fractional positions:
1 Os 0.000 0.000 0.500
2 Os 0.500 0.000 0.000
3 Os 0.000 0.500 0.000
4 Ti 0.000 0.000 0.000
5 Hg 0.500 0.500 0.500

* crystal system: cubic
* DFT formation energy: 1808.7 meV/atom
* energy relative to the lowest polymorph listed for this composition: 0.000 eV/f.u.
* calculated volume: 96.7 Å³ per cell
* space-group type: Pm-3m, No. 221
* E: -0.48277 Ry per atom

---

# TiZn2HgOs

A relaxed TiZn2HgOs crystal (GGA-PBE, the Alexandria database).

Cell: 4.702 5.130 4.702 Å, 90.00 90.00 90.00°
Fractional positions:
1 Os 0.000 0.000 0.000
2 Ti 0.500 0.500 0.500
3 Zn 0.500 0.000 0.000
4 Zn 0.000 0.000 0.500
5 Hg 0.000 0.500 0.000

* crystal system: tetragonal
* DFT formation energy: 1004.6 meV/atom
* calculated volume: 113.4 Å³ per cell
* space-group type: P4/mmm, No. 123
* E: -0.24918 Ry per atom

---

# TlHg3Os

A relaxed TlHg3Os crystal (GGA-PBE, the Alexandria database).

Cell: 5.727 5.727 5.727 Å, 90.00 90.00 90.00°
Fractional positions:
1 Hg 0.000 0.000 0.500
2 Hg 0.500 0.000 0.000
3 Hg 0.000 0.500 0.000
4 Os 0.500 0.500 0.500
5 Tl 0.000 0.000 0.000

* crystal system: cubic
* DFT formation energy: 1594.5 meV/atom
* calculated volume: 187.8 Å³ per cell
* space-group type: Pm-3m, No. 221
* E: -0.09597 Ry per atom

---

# TlHg2Os

A relaxed TlHg2Os crystal (GGA-PBE, the Alexandria database).

Cell: 5.470 5.470 5.470 Å, 134.90 134.90 65.68°
Fractional positions:
1 Os 0.500 0.500 0.000
2 Hg 0.000 0.000 0.000
3 Hg 0.250 0.750 0.500
4 Tl 0.750 0.250 0.500

* crystal system: tetragonal
* DFT formation energy: 862.1 meV/atom
* energy relative to the lowest polymorph listed for this composition: 1.029 eV/f.u.
* calculated volume: 80.9 Å³ per cell
* space-group type: I-4m2, No. 119
* E: -0.19755 Ry per atom

---

# TlHg2Os

A relaxed TlHg2Os crystal (GGA-PBE, the Alexandria database).

Cell: 2.991 5.175 5.417 Å, 90.00 90.00 90.00°
Fractional positions:
1 Tl 0.000 0.500 0.500
2 Os 0.500 0.000 0.500
3 Hg 0.000 0.000 0.000
4 Hg 0.500 0.500 0.000

* crystal system: orthorhombic
* DFT formation energy: 856.6 meV/atom
* energy relative to the lowest polymorph listed for this composition: 1.007 eV/f.u.
* calculated volume: 83.9 Å³ per cell
* space-group type: Pmmm, No. 47
* E: -0.19796 Ry per atom

---

# TlHg2Os

A relaxed TlHg2Os crystal (GGA-PBE, the Alexandria database).

Cell: 7.493 7.493 7.493 Å, 157.95 142.52 43.90°
Fractional positions:
1 Os 0.500 0.500 0.000
2 Hg 0.004 0.004 0.000
3 Hg 0.678 0.178 0.500
4 Tl 0.319 0.819 0.500

* crystal system: orthorhombic
* DFT formation energy: 604.8 meV/atom
* energy relative to the lowest polymorph listed for this composition: 0.000 eV/f.u.
* calculated volume: 95.8 Å³ per cell
* space-group type: Imm2, No. 44
* E: -0.21646 Ry per atom

---

# TlHg2Os

A relaxed TlHg2Os crystal (GGA-PBE, the Alexandria database).

Cell: 2.950 2.950 10.723 Å, 90.00 90.00 90.00°
Fractional positions:
1 Hg 0.000 0.000 0.014
2 Hg 0.500 0.500 0.296
3 Os 0.000 0.000 0.488
4 Tl 0.500 0.500 0.702

* crystal system: tetragonal
* DFT formation energy: 762.0 meV/atom
* energy relative to the lowest polymorph listed for this composition: 0.629 eV/f.u.
* calculated volume: 93.3 Å³ per cell
* space-group type: P4mm, No. 99
* E: -0.20491 Ry per atom

---

# TlHgOs2

A relaxed TlHgOs2 crystal (GGA-PBE, the Alexandria database).

Cell: 2.879 4.444 5.957 Å, 90.00 90.00 90.00°
Fractional positions:
1 Tl 0.500 0.500 0.250
2 Hg 0.500 0.500 0.750
3 Os 0.000 0.000 0.546
4 Os 0.000 0.000 0.954

* crystal system: orthorhombic
* DFT formation energy: 1244.0 meV/atom
* energy relative to the lowest polymorph listed for this composition: 2.902 eV/f.u.
* calculated volume: 76.2 Å³ per cell
* space-group type: Pmmm, No. 47
* E: -0.37028 Ry per atom

---

# TlHgOs

A relaxed TlHgOs crystal (GGA-PBE, the Alexandria database).

Cell: 4.595 4.595 4.595 Å, 60.00 60.00 60.00°
Fractional positions:
1 Hg 0.500 0.500 0.500
2 Os 0.750 0.750 0.750
3 Tl 0.000 0.000 0.000

* crystal system: cubic
* DFT formation energy: 1022.1 meV/atom
* energy relative to the lowest polymorph listed for this composition: 0.201 eV/f.u.
* calculated volume: 68.6 Å³ per cell
* space-group type: F-43m, No. 216
* E: -0.26537 Ry per atom

---

# TlHg2Os

A relaxed TlHg2Os crystal (GGA-PBE, the Alexandria database).

Cell: 10.305 10.305 10.305 Å, 17.39 17.39 17.39°
Fractional positions:
1 Os 0.250 0.250 0.250
2 Hg 0.509 0.509 0.509
3 Hg 0.991 0.991 0.991
4 Tl 0.750 0.750 0.750

* crystal system: trigonal
* DFT formation energy: 751.8 meV/atom
* energy relative to the lowest polymorph listed for this composition: 0.588 eV/f.u.
* calculated volume: 85.3 Å³ per cell
* space-group type: R-3m, No. 166
* E: -0.20565 Ry per atom

---

# TlHgOs2

A relaxed TlHgOs2 crystal (GGA-PBE, the Alexandria database).

Cell: 2.910 2.936 9.045 Å, 80.64 90.00 90.00°
Fractional positions:
1 Os 0.500 0.333 0.209
2 Os 0.000 0.921 0.034
3 Hg 0.500 0.543 0.790
4 Tl 0.000 0.703 0.467

* crystal system: monoclinic
* DFT formation energy: 518.4 meV/atom
* energy relative to the lowest polymorph listed for this composition: 0.000 eV/f.u.
* calculated volume: 76.2 Å³ per cell
* space-group type: Pm, No. 6
* E: -0.42361 Ry per atom

---

# TlHgOs2

A relaxed TlHgOs2 crystal (GGA-PBE, the Alexandria database).

Cell: 5.000 5.000 5.000 Å, 130.17 130.17 73.13°
Fractional positions:
1 Tl 0.500 0.500 0.000
2 Os 0.250 0.750 0.500
3 Os 0.000 0.000 0.000
4 Hg 0.750 0.250 0.500

* crystal system: tetragonal
* DFT formation energy: 1213.3 meV/atom
* energy relative to the lowest polymorph listed for this composition: 2.780 eV/f.u.
* calculated volume: 71.2 Å³ per cell
* space-group type: I-4m2, No. 119
* E: -0.37253 Ry per atom

---

# TlHgOs2

A relaxed TlHgOs2 crystal (GGA-PBE, the Alexandria database).

Cell: 2.836 3.413 8.333 Å, 90.00 90.00 90.00°
Fractional positions:
1 Os 0.000 0.000 0.045
2 Os 0.500 0.500 0.196
3 Hg 0.500 0.500 0.793
4 Tl 0.000 0.000 0.465

* crystal system: orthorhombic
* DFT formation energy: 598.1 meV/atom
* energy relative to the lowest polymorph listed for this composition: 0.319 eV/f.u.
* calculated volume: 80.7 Å³ per cell
* space-group type: Pmm2, No. 25
* E: -0.41775 Ry per atom

---

# TlHg2Os

A relaxed TlHg2Os crystal (GGA-PBE, the Alexandria database).

Cell: 4.302 3.500 5.982 Å, 72.97 90.00 90.00°
Fractional positions:
1 Os 0.000 0.289 0.550
2 Hg 0.000 0.040 0.043
3 Hg 0.500 0.447 0.230
4 Tl 0.500 0.725 0.677

* crystal system: monoclinic
* DFT formation energy: 763.5 meV/atom
* energy relative to the lowest polymorph listed for this composition: 0.635 eV/f.u.
* calculated volume: 86.1 Å³ per cell
* space-group type: Pm, No. 6
* E: -0.20480 Ry per atom

---

# TlHgOs2

A relaxed TlHgOs2 crystal (GGA-PBE, the Alexandria database).

Cell: 4.670 4.670 4.670 Å, 60.00 60.00 60.00°
Fractional positions:
1 Tl 0.750 0.750 0.750
2 Os 0.250 0.250 0.250
3 Os 0.000 0.000 0.000
4 Hg 0.500 0.500 0.500

* crystal system: cubic
* DFT formation energy: 1279.1 meV/atom
* energy relative to the lowest polymorph listed for this composition: 3.043 eV/f.u.
* calculated volume: 72.0 Å³ per cell
* space-group type: F-43m, No. 216
* E: -0.36770 Ry per atom

---

# Tl3HgOs

A relaxed Tl3HgOs crystal (GGA-PBE, the Alexandria database).

Cell: 5.344 5.344 5.344 Å, 90.00 90.00 90.00°
Fractional positions:
1 Tl 0.500 0.000 0.000
2 Tl 0.000 0.000 0.500
3 Tl 0.000 0.500 0.000
4 Hg 0.500 0.500 0.500
5 Os 0.000 0.000 0.000

* crystal system: cubic
* DFT formation energy: 338.0 meV/atom
* energy relative to the lowest polymorph listed for this composition: 0.000 eV/f.u.
* calculated volume: 152.6 Å³ per cell
* space-group type: Pm-3m, No. 221
* E: -0.24902 Ry per atom